Record 1
## NaTmAg4 (PBE-GGA)

Data for crystalline NaTmAg4 at its relaxed geometry. Values from VASP.

ΔH_f (0 K), eV/atom: -0.072
Total DFT energy (no corrections), eV per atom: -2.9375

Geometry as Quantum ESPRESSO input:
```
&SYSTEM
  ibrav = 0, nat = 6, ntyp = 3
/
ATOMIC_SPECIES
Na 22.99 Na.upf
Ag 107.87 Ag.upf
Tm 168.93 Tm.upf
ATOMIC_POSITIONS angstrom
Na -1.785 -2.842 -0.818
Ag -3.731 -5.370 0.054
Ag -1.904 -5.921 -2.020
Ag -4.182 -4.343 -2.531
Tm 0.000 0.000 0.000
Ag -4.461 -7.105 -2.043
CELL_PARAMETERS angstrom
-1.462 -3.472 -4.199
-0.558 -5.528 0.976
-5.119 -2.370 -0.048
```

Record 2
## CaTm3Os (PBE-GGA)

Data for crystalline CaTm3Os at its relaxed geometry. Values from VASP.

ΔH_f (0 K), eV/atom: -0.105
Total DFT energy (no corrections), eV per atom: -5.4345

Geometry as Quantum ESPRESSO input:
```
&SYSTEM
  ibrav = 0, nat = 5, ntyp = 3
/
ATOMIC_SPECIES
Tm 168.93 Tm.upf
Os 190.23 Os.upf
Ca 40.08 Ca.upf
ATOMIC_POSITIONS angstrom
Tm 2.698 0.000 0.000
Os 0.000 0.000 0.000
Tm 0.000 2.698 0.000
Tm 0.000 0.000 2.698
Ca 2.698 2.698 2.698
CELL_PARAMETERS angstrom
5.397 0.000 0.000
0.000 5.397 0.000
0.000 0.000 5.397
```